Material: AcSmEr2
Method: DFT, PBE
State: optimized geometry

Cell and atoms, written as CIF:
```
data_AcSmEr2
_chemical_formula_sum 'Ac4 Sm4 Er8'
_symmetry_space_group_name_H-M 'F m -3 m'
_symmetry_Int_Tables_number 225
_symmetry_space_group_name_Hall '-F 4 2 3'
_cell_length_a 8.2430
_cell_length_b 8.2430
_cell_length_c 8.2430
_cell_angle_alpha 90.00
_cell_angle_beta 90.00
_cell_angle_gamma 90.00
loop_
_atom_site_label
_atom_site_fract_x
_atom_site_fract_y
_atom_site_fract_z
_atom_site_occupancy
Ac1 0.0000 0.0000 0.0000 1
Sm1 0.0000 0.0000 0.5000 1
Er1 0.2500 0.2500 0.2500 1
```

Its formation energy is 0.11 eV/atom. The calculation puts the total moment at 0.0 μB/f.u.

=====

Material: AcSm3Er6
Method: DFT, PBE
State: optimized geometry

Cell and atoms, written as CIF:
```
data_AcSm3Er6
_chemical_formula_sum 'Ac2 Sm6 Er12'
_symmetry_space_group_name_H-M 'C 1 2/m 1'
_symmetry_Int_Tables_number 12
_cell_length_a 11.4436
_cell_length_b 6.5544
_cell_length_c 9.8509
_cell_angle_alpha 90.00
_cell_angle_beta 113.90
_cell_angle_gamma 90.00
loop_
_symmetry_equiv_pos_as_xyz
'x,y,z'
'-x,-y,-z'
'-x,y,-z'
'x,-y,z'
'x+1/2,y+1/2,z'
'-x+1/2,-y+1/2,-z'
'-x+1/2,y+1/2,-z'
'x+1/2,-y+1/2,z'
loop_
_atom_site_label
_atom_site_fract_x
_atom_site_fract_y
_atom_site_fract_z
_atom_site_occupancy
Ac1 0.0000 0.0000 0.0000 1
Sm1 0.0000 0.5000 0.5000 1
Sm2 0.0679 0.0000 0.6926 1
Er1 0.1371 0.5000 0.9147 1
Er2 0.1871 0.2527 0.3154 1
```

Its formation energy is 0.24 eV/atom. The calculation puts the total moment at 0.0 μB/f.u.

=====

Material: AcSm3Er
Method: DFT, PBE
State: optimized geometry

Cell and atoms, written as CIF:
```
data_AcSm3Er
_chemical_formula_sum 'Ac2 Sm6 Er2'
_symmetry_space_group_name_H-M 'P -1'
_symmetry_Int_Tables_number 2
_cell_length_a 4.9552
_cell_length_b 8.6612
_cell_length_c 9.6323
_cell_angle_alpha 68.34
_cell_angle_beta 75.12
_cell_angle_gamma 89.99
loop_
_symmetry_equiv_pos_as_xyz
'x,y,z'
'-x,-y,-z'
loop_
_atom_site_label
_atom_site_fract_x
_atom_site_fract_y
_atom_site_fract_z
_atom_site_occupancy
Ac1 0.1161 0.1468 0.2685 1
Sm1 0.0582 0.7004 0.3836 1
Sm2 0.2277 0.6292 0.0448 1
Sm3 0.4160 0.5595 0.6681 1
Er1 0.3098 0.1098 0.8806 1
```

Its formation energy is 0.15 eV/atom. The calculation puts the total moment at 0.0 μB/f.u.

=====

Material: AcSm4Er2
Method: DFT, PBE
State: optimized geometry

Cell and atoms, written as CIF:
```
data_AcSm4Er2
_chemical_formula_sum 'Ac3 Sm12 Er6'
_symmetry_space_group_name_H-M 'R -3 m'
_symmetry_Int_Tables_number 166
_symmetry_space_group_name_Hall '-R 3 2"'
_cell_length_a 3.6555
_cell_length_b 3.6555
_cell_length_c 62.1250
_cell_angle_alpha 90.00
_cell_angle_beta 90.00
_cell_angle_gamma 120.00
loop_
_atom_site_label
_atom_site_fract_x
_atom_site_fract_y
_atom_site_fract_z
_atom_site_occupancy
Ac1 0.0000 0.0000 0.0000 1
Sm1 0.0000 0.0000 0.1429 1
Sm2 0.0000 0.0000 0.2828 1
Er1 0.0000 0.0000 0.4299 1
```

Its formation energy is 0.04 eV/atom. The calculation puts the total moment at 0.0 μB/f.u.